DFT (GGA-PBE) results for a geometry-optimized KBa2CaSi structure.

Results
Density ... 2426 kg/m3
E_form (uncorrected) ... -0.07 eV per atom
Calculated total energy ... -2.543 eV/atom

a b c (Å): 6.651 6.651 5.910
angles (deg): 90.00 90.00 90.00
Sites, in units of the cell vectors:
1 K 0.500 0.500 0.500
2 Ca 0.000 0.000 0.500
3 Si 0.000 0.000 0.000
4 Ba 0.000 0.500 0.000
5 Ba 0.500 0.000 0.000